No. 1
An optimized crystal structure of Na4AsF. Source: Alexandria, functional PBE.

Crystal system ... monoclinic
Formation energy without anion corrections ... -1.082 eV/atom

Lattice parameters (Å, degrees): 5.279 6.619 8.163 90.00 101.57 90.00
Space group P2_1/c (No. 14)
Unique sites:
1 Na 0.057 0.194 0.118 (multiplicity 4)
2 Na 0.383 0.614 0.147 (multiplicity 4)
3 As 0.500 0.000 0.000 (multiplicity 2)
4 F 0.000 0.000 0.500 (multiplicity 2)

---

No. 2
An optimized crystal structure of Na3AsF. Source: Alexandria, functional PBE.

Crystal system ... cubic
Formation energy without anion corrections ... -1.217 eV/atom

Lattice parameters (Å, degrees): 4.610 4.610 4.610 90.00 90.00 90.00
Space group Pm-3m (No. 221)
Unique sites:
1 Na 0.000 0.000 0.500 (multiplicity 3)
2 As 0.500 0.500 0.500 (multiplicity 1)
3 F 0.000 0.000 0.000 (multiplicity 1)

---

No. 3
An optimized crystal structure of NaAsF2. Source: Alexandria, functional PBE.

Crystal system ... tetragonal
Formation energy without anion corrections ... -1.331 eV/atom

Lattice parameters (Å, degrees): 6.109 6.109 6.684 90.00 90.00 90.00
Space group I-42d (No. 122)
Unique sites:
1 Na 0.000 0.000 0.000 (multiplicity 4)
2 As 0.000 0.000 0.500 (multiplicity 4)
3 F 0.235 0.250 0.125 (multiplicity 8)

---

No. 4
An optimized crystal structure of Na3AsF. Source: Alexandria, functional PBE.

Crystal system ... monoclinic
Formation energy without anion corrections ... -1.232 eV/atom

Lattice parameters (Å, degrees): 9.614 5.461 8.438 90.00 107.04 90.00
Space group P2_1/c (No. 14)
Unique sites:
1 Na 0.072 0.099 0.370 (multiplicity 4)
2 Na 0.207 0.559 0.566 (multiplicity 4)
3 Na 0.420 0.076 0.790 (multiplicity 4)
4 As 0.370 0.572 0.927 (multiplicity 4)
5 F 0.016 0.225 0.097 (multiplicity 4)

---

No. 5
An optimized crystal structure of NaAsF3. Source: Alexandria, functional PBE.

Crystal system ... cubic
Formation energy without anion corrections ... -1.249 eV/atom

Lattice parameters (Å, degrees): 4.065 4.065 4.065 90.00 90.00 90.00
Space group Pm-3m (No. 221)
Unique sites:
1 Na 0.000 0.000 0.000 (multiplicity 1)
2 As 0.500 0.500 0.500 (multiplicity 1)
3 F 0.000 0.000 0.500 (multiplicity 3)

---

No. 6
An optimized crystal structure of Na2AsF. Source: Alexandria, functional PBE.

Crystal system ... tetragonal
Formation energy without anion corrections ... -1.144 eV/atom

Lattice parameters (Å, degrees): 6.604 6.604 7.869 90.00 90.00 90.00
Space group I-42d (No. 122)
Unique sites:
1 Na 0.147 0.750 0.125 (multiplicity 8)
2 As 0.000 0.000 0.500 (multiplicity 4)
3 F 0.000 0.000 0.000 (multiplicity 4)

---

No. 7
An optimized crystal structure of NaAsF2. Source: Alexandria, functional PBE.

Crystal system ... trigonal
Formation energy without anion corrections ... -1.915 eV/atom

Lattice parameters (Å, degrees): 3.1870 3.1870 20.2501 90.00 90.00 120.00
Space group R-3m (No. 166, hexagonal axes)
Unique sites:
1 Na 0.0000 0.0000 0.0000 (multiplicity 3)
2 As 0.0000 0.0000 0.5000 (multiplicity 3)
3 F 0.0000 0.0000 0.3982 (multiplicity 6)

---

No. 8
An optimized crystal structure of Na8As2F. Source: Alexandria, functional PBE.

Crystal system ... monoclinic
Formation energy without anion corrections ... -0.675 eV/atom

Lattice parameters (Å, degrees): 17.412 4.990 6.557 90.00 104.56 90.00
Space group C2/m (No. 12)
Unique sites:
1 Na 0.024 0.000 0.267 (multiplicity 4)
2 Na 0.092 0.500 0.823 (multiplicity 4)
3 Na 0.174 0.500 0.415 (multiplicity 4)
4 Na 0.221 0.000 0.129 (multiplicity 4)
5 As 0.156 0.000 0.663 (multiplicity 4)
6 F 0.000 0.500 0.000 (multiplicity 2)

---

No. 9
An optimized crystal structure of Na3AsF6. Source: Alexandria, functional PBE.

Crystal system ... cubic
Formation energy without anion corrections ... -2.389 eV/atom

Lattice parameters (Å, degrees): 8.492 8.492 8.492 90.00 90.00 90.00
Space group Fm-3m (No. 225)
Unique sites:
1 Na 0.000 0.000 0.000 (multiplicity 4)
2 Na 0.250 0.250 0.250 (multiplicity 8)
3 As 0.000 0.000 0.500 (multiplicity 4)
4 F 0.000 0.000 0.259 (multiplicity 24)

---

No. 10
An optimized crystal structure of NaAsOF2. Source: Alexandria, functional PBE.

Crystal system ... tetragonal
Formation energy without anion corrections ... -1.716 eV/atom

Lattice parameters (Å, degrees): 4.343 4.343 3.927 90.00 90.00 90.00
Space group P4/mmm (No. 123)
Unique sites:
1 Na 0.000 0.000 0.000 (multiplicity 1)
2 As 0.500 0.500 0.500 (multiplicity 1)
3 O 0.500 0.500 0.000 (multiplicity 1)
4 F 0.000 0.500 0.500 (multiplicity 2)

---

No. 11
An optimized crystal structure of NaAsO2F. Source: Alexandria, functional PBE.

Crystal system ... tetragonal
Formation energy without anion corrections ... -0.046 eV/atom

Lattice parameters (Å, degrees): 4.073 4.073 3.844 90.00 90.00 90.00
Space group P4/mmm (No. 123)
Unique sites:
1 Na 0.000 0.000 0.000 (multiplicity 1)
2 As 0.500 0.500 0.500 (multiplicity 1)
3 O 0.000 0.500 0.000 (multiplicity 2)
4 F 0.000 0.000 0.500 (multiplicity 1)

---

No. 12
An optimized crystal structure of NaAsO2F. Source: Alexandria, functional PBE.

Crystal system ... tetragonal
Formation energy without anion corrections ... -1.461 eV/atom

Lattice parameters (Å, degrees): 3.815 3.815 4.274 90.00 90.00 90.00
Space group P4/mmm (No. 123)
Unique sites:
1 Na 0.000 0.000 0.000 (multiplicity 1)
2 As 0.500 0.500 0.500 (multiplicity 1)
3 O 0.000 0.500 0.500 (multiplicity 2)
4 F 0.500 0.500 0.000 (multiplicity 1)